Record 1
The following is a PBE calculation of BeTlAg2 after structural relaxation, from Alexandria via LeMat-Bulk.

Computed properties:
Its calculated formation energy is 0.499 eV/atom. The energy above the most stable polymorph in this dataset comes out at 1.08 eV per formula unit.

Unit cell a=10.0051 b=10.0051 c=10.0051 alpha=156.59 beta=156.59 gamma=33.34
Sites, in units of the cell vectors:
Be 0.0000 0.0000 0.0000
Be 0.7500 0.2500 0.5000
Tl 0.2500 0.7500 0.5000
Tl 0.5000 0.5000 0.0000
Ag 0.1009 0.6250 0.9759
Ag 0.3750 0.3509 0.4759
Ag 0.6491 0.1250 0.0241
Ag 0.8750 0.8991 0.5241

***

Record 2
The following is a PBE calculation of BeTl3Ag after structural relaxation, from Alexandria via LeMat-Bulk.

Computed properties:
Its calculated formation energy is 0.791 eV/atom. The energy above the most stable polymorph in this dataset comes out at 2.05 eV per formula unit.

Unit cell a=5.5146 b=5.5146 c=5.5146 alpha=90.00 beta=90.00 gamma=90.00
Sites, in units of the cell vectors:
Be 0.0000 0.0000 0.0000
Tl 0.0000 0.5000 0.5000
Tl 0.5000 0.0000 0.5000
Tl 0.5000 0.5000 0.0000
Ag 0.5000 0.5000 0.5000